Below is a relaxed structure of Zr3N2, with properties calculated at the PBE-GGA level.

* DFT total energy: -9.85 eV per atom

abc: 8.135 8.135 8.135
angles: 23.28 23.28 23.28
Element x y z (fractional)
Zr  0.000  0.000  0.000
Zr  0.222  0.222  0.222
Zr  0.778  0.778  0.778
N  0.389  0.389  0.389
N  0.611  0.611  0.611